[1]
DFT (PBE) results for an optimized crystal structure of TiSnPd2.

Calculated values
- N(E_F) (states/eV per cell) = 4.4
- space group = P4/mmm, No. 123
- magnetic moment (μB/atom) = 0.003
- final energy (eV/cell) = -24.187
- energy of formation from the pure elements (meV/atom) = -476

Cell lengths 4.115, 4.115, 4.013 Å; angles 90.00, 90.00, 90.00 degrees
Element x y z (fractional)
Ti 0.000 0.000 0.000
Sn 0.500 0.500 0.000
Pd 0.000 0.500 0.500
Pd 0.500 0.000 0.500


[2]
DFT (PBE) results for an optimized crystal structure of Ti4SnPd7.

Calculated values
- N(E_F) (states/eV per cell) = 8.9
- space group = C2/m, No. 12
- magnetic moment (μB/atom) = 0.000
- final energy (eV/cell) = -76.047
- energy of formation from the pure elements (meV/atom) = -343

Cell lengths 5.790, 5.790, 9.380 Å; angles 116.69, 116.69, 49.66 degrees
Element x y z (fractional)
Ti 0.085 0.085 0.272
Ti 0.249 0.249 0.834
Ti 0.751 0.751 0.166
Ti 0.915 0.915 0.728
Sn 0.500 0.500 0.500
Pd 0.000 0.000 0.500
Pd 0.143 0.143 0.041
Pd 0.286 0.286 0.587
Pd 0.436 0.436 0.149
Pd 0.564 0.564 0.851
Pd 0.714 0.714 0.413
Pd 0.857 0.857 0.959


[3]
DFT (PBE) results for an optimized crystal structure of TiSn3Pd.

Calculated values
- N(E_F) (states/eV per cell) = 9.6
- space group = Pm-3m, No. 221
- magnetic moment (μB/atom) = 0.000
- final energy (eV/cell) = -22.564
- relative energy among the computed polymorphs (meV/atom) = 48.5
- energy of formation from the pure elements (meV/atom) = 506

Cell lengths 5.144, 5.144, 5.144 Å; angles 90.00, 90.00, 90.00 degrees
Element x y z (fractional)
Ti 0.000 0.000 0.000
Sn 0.000 0.500 0.500
Sn 0.500 0.000 0.500
Sn 0.500 0.500 0.000
Pd 0.500 0.500 0.500


[4]
DFT (PBE) results for an optimized crystal structure of Ti2SnPd4.

Calculated values
- N(E_F) (states/eV per cell) = 10.0
- space group = P1, No. 1
- magnetic moment (μB/atom) = 0.000
- final energy (eV/cell) = -88.179
- relative energy among the computed polymorphs (meV/atom) = 13.5
- energy of formation from the pure elements (meV/atom) = -504

Cell lengths 5.521, 7.051, 7.053 Å; angles 119.47, 101.31, 90.35 degrees
Element x y z (fractional)
Ti 0.000 0.000 0.000
Ti 0.112 0.886 0.548
Ti 0.499 0.010 0.002
Ti 0.883 0.393 0.879
Sn 0.393 0.203 0.461
Sn 0.685 0.495 0.286
Pd 0.170 0.639 0.724
Pd 0.181 0.425 0.262
Pd 0.276 0.759 0.173
Pd 0.333 0.289 0.865
Pd 0.660 0.627 0.709
Pd 0.667 0.981 0.630
Pd 0.772 0.783 0.166
Pd 0.887 0.226 0.442


Among the records above, which one has the highest N(E_F)?
Ti2SnPd4